[1]
# RbCoSi2

RbCoSi2 after structural relaxation (GGA-PBE, Alexandria via LeMat-Bulk).

As for the energy above the lowest structure with this stoichiometry: 1111 meV per atom.

It has space group Fm-3m (No. 225), with a = 6.613 Å, b = 6.613 Å, c = 6.613 Å, α = 90.00°, β = 90.00° and γ = 90.00°. The inequivalent atoms are Rb at (0.000, 0.000, 0.000), Co at (0.000, 0.000, 0.500) and Si at (0.250, 0.250, 0.250).


[2]
# Rb2CoSiSn

Rb2CoSiSn after structural relaxation (GGA-PBE, Alexandria via LeMat-Bulk).

It has space group P4/mmm (No. 123), with a = 7.139 Å, b = 7.139 Å, c = 5.066 Å, α = 90.00°, β = 90.00° and γ = 90.00°. The inequivalent atoms are Rb at (0.000, 0.500, 0.000), Co at (0.000, 0.000, 0.500), Si at (0.500, 0.500, 0.500) and Sn at (0.500, 0.500, 0.000).


[3]
# RbTl2CoSi

RbTl2CoSi after structural relaxation (GGA-PBE, Alexandria via LeMat-Bulk).

It has space group P4/mmm (No. 123), with a = 5.342 Å, b = 5.342 Å, c = 6.754 Å, α = 90.00°, β = 90.00° and γ = 90.00°. The inequivalent atoms are Rb at (0.000, 0.000, 0.000), Tl at (0.000, 0.500, 0.500), Co at (0.500, 0.500, 0.000) and Si at (0.000, 0.000, 0.500).


Number 1: ΔE_f (raw) 418.8 kJ/mol of formula units, raw total energy -3.645 eV per atom. Number 2: ΔE_f (raw) 471.3 kJ/mol of formula units, raw total energy -2.716 eV per atom. Number 3: ΔE_f (raw) 494.5 kJ/mol of formula units, raw total energy -2.621 eV per atom.